Record 1
Here is a relaxed structure of ThMg2Os from Alexandria via LeMat-Bulk. Energies are from PBE.

Output
The formation energy comes out at -118 meV/atom.

a b c (Å): 4.073 9.880 8.922
angles (deg): 90.00 90.00 90.00
Space group Cmcm (No. 63)
Asymmetric unit:
Th 0.000 0.062 0.250 x4
Mg 0.000 0.346 0.050 x8
Os 0.000 0.234 0.750 x4

***

Record 2
Here is a relaxed structure of NpHPb from Alexandria via LeMat-Bulk. Energies are from PBE.

Output
The total energy comes out at -19.88 eV/cell.

a b c (Å): 3.6706 3.6706 5.2107
angles (deg): 90.00 90.00 120.00
Space group P3m1 (No. 156)
Asymmetric unit:
Np 0.0000 0.0000 0.0000 x1
H 0.6667 0.3333 0.0218 x1
Pb 0.3333 0.6667 0.5011 x1

***

Record 3
Here is a relaxed structure of CrNi3N from Alexandria via LeMat-Bulk. Energies are from PBE.

Output
As for the uncorrected formation energy: 0.128 eV per atom.

a b c (Å): 3.785 3.785 3.785
angles (deg): 90.00 90.00 90.00
Space group Pm-3m (No. 221)
Asymmetric unit:
Cr 0.000 0.000 0.000 x1
Ni 0.000 0.500 0.500 x3
N 0.500 0.500 0.500 x1

***

Record 4
Here is a relaxed structure of Zn4Tc2Au from Alexandria via LeMat-Bulk. Energies are from PBE.

Output
The formation energy comes out at 818 meV/atom.

a b c (Å): 4.896 4.896 12.636
angles (deg): 90.00 90.00 90.00
Space group I4/mmm (No. 139)
Asymmetric unit:
Zn 0.000 0.000 0.203 x4
Zn 0.000 0.500 0.000 x4
Tc 0.000 0.000 0.412 x4
Au 0.000 0.000 0.000 x2

***

Per-record DOS at the Fermi energy, states/eV per atom: 0.824, 1.952, 1.087, 0.693
Per-record total magnetic moment, μB per formula unit: 0.0, 4.1, 4.1, 1.9